Entry from the Alexandria database: a relaxed structure of La2CeSi2 (PBE).

abc: 11.8020 4.4084 11.2258
angles: 90.00 116.71 90.00
Closest atoms and distances in Å follow each position.
Space group C2/m (No. 12)
Asymmetric unit:
La: 0.0037 0.0000 0.3229 [4 per cell]  6 Si 3.11-3.34, 2 Ce 3.12
La: 0.1902 0.0000 0.1035 [4 per cell]  6 Si 3.12-3.42
Ce: 0.2051 0.5000 0.3628 [4 per cell]  4 Si 2.92-3.00, 2 La 3.12
Si: 0.0236 0.5000 0.9045 [4 per cell]  1 Si 2.44
Si: 0.1147 0.5000 0.5725 [4 per cell]  1 Si 2.45

Summary:
Energy above the most stable polymorph in this dataset: 0.000 eV/atom

---

Entry from the Alexandria database: a relaxed structure of Re5P (PBE).

abc: 11.0324 2.9397 5.6212
angles: 90.00 103.85 90.00
Closest atoms and distances in Å follow each position.
Space group Cm (No. 8)
Asymmetric unit:
Re: 0.0000 0.0000 0.0000 [2 per cell]  2 P 2.52, 3 Re 2.64-2.69
Re: 0.0418 0.0000 0.5571 [2 per cell]  7 Re 2.53-2.78, 2 P 2.83
Re: 0.1631 0.5000 0.3286 [2 per cell]  7 Re 2.53-2.76
Re: 0.2239 0.5000 0.8794 [2 per cell]  2 P 2.42
Re: 0.3602 0.0000 0.2798 [2 per cell]  1 P 2.39, 2 Re 2.67
P: 0.3521 0.0000 0.7011 [2 per cell]  5 Re 2.39-2.52

Summary:
Energy above the most stable polymorph in this dataset: 0.000 eV/atom
Formation energy from the elements: 0.011 eV/atom

---

Entry from the Alexandria database: a relaxed structure of Tb2Si3Ge (PBE).

abc: 3.9405 4.0072 15.2764
angles: 90.00 90.00 90.00
Closest atoms and distances in Å follow each position.
Space group Imm2 (No. 44)
Asymmetric unit:
Tb: 0.0000 0.0000 0.0000 [2 per cell]  6 Si 3.06-3.14, 4 Ge 3.11
Tb: 0.0000 0.5000 0.2388 [2 per cell]  10 Si 3.05-3.13, 2 Ge 3.33
Si: 0.0000 0.0000 0.5792 [2 per cell]  2 Si 2.35, 1 Ge 2.54
Si: 0.0000 0.5000 0.6602 [2 per cell]  3 Si 2.35-2.40
Si: 0.0000 0.5000 0.8170 [2 per cell]  1 Si 2.40, 2 Ge 2.46
Ge: 0.0000 0.0000 0.4130 [2 per cell]  3 Si 2.46-2.54

---

Entry from the Alexandria database: a relaxed structure of CaMg2Au (PBE).

abc: 4.4341 4.4341 4.7325
angles: 90.00 90.00 90.00
Closest atoms and distances in Å follow each position.
Space group P4/mmm (No. 123)
Asymmetric unit:
Ca: 0.0000 0.0000 0.0000 [1 per cell]  4 Au 3.14, 8 Mg 3.24
Mg: 0.0000 0.5000 0.5000 [2 per cell]  4 Mg 3.14, 4 Ca 3.24, 4 Au 3.24
Au: 0.5000 0.5000 0.0000 [1 per cell]  4 Ca 3.14, 8 Mg 3.24

Summary:
Formation energy from the elements: -0.329 eV/atom

---

Entry from the Alexandria database: a relaxed structure of K3Cd2PdF9 (PBE).

abc: 6.2606 6.2606 7.6825
angles: 90.00 90.00 120.00
Closest atoms and distances in Å follow each position.
Space group P-3m1 (No. 164)
Asymmetric unit:
K: 0.0000 0.0000 0.0000 [1 per cell]  12 F 3.13-3.15
K: 0.3333 0.6667 0.6565 [2 per cell]  12 F 3.05-3.20
Cd: 0.3333 0.6667 0.1682 [2 per cell]  6 F 2.22-2.23
Pd: 0.0000 0.0000 0.5000 [1 per cell]  6 F 2.19
F: 0.0000 0.5000 0.0000 [3 per cell]  2 Cd 2.22
F: 0.1657 0.3315 0.3375 [6 per cell]  1 Pd 2.19, 1 Cd 2.23

---

Entry from the Alexandria database: a relaxed structure of CuICl (PBE).

abc: 3.7110 3.7110 6.7536
angles: 90.00 90.00 120.00
Closest atoms and distances in Å follow each position.
Space group P3m1 (No. 156)
Asymmetric unit:
Cu: 0.0000 0.0000 0.0000 [1 per cell]  3 Cl 2.44
I: 0.3333 0.6667 0.7326 [1 per cell]  3 Cu 2.80
Cl: 0.6667 0.3333 0.1742 [1 per cell]  3 Cu 2.44

Summary:
Energy above the most stable polymorph in this dataset: 0.092 eV/atom

---

Entry from the Alexandria database: a relaxed structure of EuAg3 (PBE).

abc: 3.2726 4.9443 5.5393
angles: 90.00 90.00 90.00
Closest atoms and distances in Å follow each position.
Space group Pmm2 (No. 25)
Asymmetric unit:
Eu: 0.0000 0.0000 0.0000 [1 per cell]  10 Ag 3.17-3.23, 2 Eu 3.27
Ag: 0.0000 0.5000 0.6339 [1 per cell]  6 Ag 2.89-3.05, 2 Eu 3.20
Ag: 0.5000 0.0000 0.5038 [1 per cell]  8 Ag 2.98-3.27, 4 Eu 3.20-3.23
Ag: 0.5000 0.5000 0.2037 [1 per cell]  4 Ag 2.89-2.98, 4 Eu 3.17

Summary:
Formation energy from the elements: -0.032 eV/atom

---

Entry from the Alexandria database: a relaxed structure of HgSCl2 (PBE).

abc: 4.1496 4.1610 8.0207
angles: 82.53 76.73 82.72
Closest atoms and distances in Å follow each position.
Space group P1 (No. 1)
Asymmetric unit:
Hg: 0.0000 0.0000 0.0000 [1 per cell]  1 Cl 2.38, 1 S 2.40
S: 0.2576 0.2810 0.1694 [1 per cell]  1 Cl 2.04
Cl: 0.0605 0.0832 0.4120 [1 per cell]  1 S 2.04
Cl: 0.7756 0.7214 0.8177 [1 per cell]  1 Hg 2.38

Summary:
Energy above the most stable polymorph in this dataset: 0.000 eV/atom

---

Entry from the Alexandria database: a relaxed structure of BaZr2TaF (PBE).

abc: 5.5562 5.5562 4.4240
angles: 90.00 90.00 90.00
Closest atoms and distances in Å follow each position.
Space group P4/mmm (No. 123)
Asymmetric unit:
Ba: 0.0000 0.0000 0.0000 [1 per cell]  2 F 2.21
Zr: 0.0000 0.5000 0.0000 [2 per cell]  2 Ba 2.78
Ta: 0.5000 0.5000 0.5000 [1 per cell]  8 Zr 3.55, 4 F 3.93
F: 0.0000 0.0000 0.5000 [1 per cell]  2 Ba 2.21

---

Entry from the Alexandria database: a relaxed structure of In2CCl (PBE).

abc: 6.7776 6.7776 6.7776
angles: 90.00 90.00 90.00
Closest atoms and distances in Å follow each position.
Space group Fm-3m (No. 225)
Asymmetric unit:
In: 0.2500 0.2500 0.2500 [8 per cell]  4 Cl 2.93, 4 C 2.93
C: 0.0000 0.0000 0.0000 [4 per cell]  8 In 2.93
Cl: 0.0000 0.0000 0.5000 [4 per cell]  8 In 2.93

---

Entry from the Alexandria database: a relaxed structure of PmInP2 (PBE).

abc: 4.7290 4.7290 3.7320
angles: 90.00 90.00 90.00
Closest atoms and distances in Å follow each position.
Space group P4/mmm (No. 123)
Asymmetric unit:
Pm: 0.0000 0.0000 0.0000 [1 per cell]  8 P 3.01, 4 In 3.34
In: 0.5000 0.5000 0.0000 [1 per cell]  8 P 3.01, 4 Pm 3.34
P: 0.0000 0.5000 0.5000 [2 per cell]  4 In 3.01, 4 Pm 3.01, 4 P 3.34

Summary:
Energy above the most stable polymorph in this dataset: 0.000 eV/atom
Formation energy from the elements: -0.523 eV/atom

---

Entry from the Alexandria database: a relaxed structure of TbPr2Sm5Ho (PBE).

abc: 8.6789 8.6789 16.3212
angles: 90.00 90.00 90.00
Closest atoms and distances in Å follow each position.
Space group I4/mcm (No. 140)
Asymmetric unit:
Tb: 0.0000 0.0000 0.2500 [4 per cell]  8 Sm 3.56
Pr: 0.1202 0.3798 0.0000 [8 per cell]  1 Pr 2.95, 2 Sm 3.08
Sm: 0.0000 0.0000 0.0000 [4 per cell]  4 Pr 3.46
Sm: 0.2148 0.2852 0.3577 [16 per cell]  1 Pr 3.08, 1 Ho 3.17
Ho: 0.0000 0.5000 0.2500 [4 per cell]  4 Sm 3.17

Summary:
Formation energy from the elements: 0.271 eV/atom

---

Calculated density readings, ordered: 6036, 18050, 6536, 5098, 3945, 4657, 8811, 3791, 6319, 5912, 6402, 7334 kg/m³
E_tot readings, ordered: -5.901, -11.264, -5.565, -2.446, -4.035, -2.718, -4.739, -2.301, -5.339, -3.104, -5.100, -4.436 eV/atom
Calculated volume readings, ordered: 26.09, 14.75, 20.10, 23.26, 17.38, 26.85, 22.41, 33.24, 27.32, 19.46, 20.87, 34.15 Å³ per atom